Below is crystalline Sc4Cd2In3 at its relaxed geometry, with properties calculated at the GGA-PBE level.

abc: 9.605 4.557 9.526
angles: 90.00 101.34 90.00
Space group C2/m (No. 12)
Symmetry-distinct sites (fractional):
Sc  0.014  0.000  0.173 x4
Sc  0.171  0.500  0.393 x4
Cd  0.153  0.500  0.712 x4
In  0.000  0.000  0.500 x2
In  0.169  0.500  0.053 x4

Results
energy of formation from the pure elements = -278 meV per atom
calculated volume = 22.710 Å³ per atom